# 1
CaLa2BRh GGA-PBE optimized geometry; size of the total moment = 0.001 Bohr magnetons per cell; crystal system = tetragonal; DFT total energy = -18.424 eV per cell
1.0
5.687 0.000 0.000
0.000 4.611 0.000
0.000 0.000 5.687
Ca B Rh La
1 1 1 2
direct
0.000 0.000 0.000
0.500 0.500 0.500
0.000 0.500 0.000
0.000 0.000 0.500
0.500 0.000 0.000

# 2
CaLaScB2 GGA-PBE optimized geometry; size of the total moment = 0.001 Bohr magnetons per cell; crystal system = tetragonal; DFT total energy = -18.127 eV per cell
1.0
-0.680 4.648 -1.093
-5.026 -0.159 2.449
2.004 1.280 4.196
Sc Ca B La
1 1 2 1
direct
0.500 0.500 0.500
0.000 0.500 0.000
0.000 0.000 0.500
0.500 0.000 0.000
0.000 0.000 0.000

# 3
CaLaTcB2 GGA-PBE optimized geometry; size of the total moment = 0.000 Bohr magnetons per cell; crystal system = tetragonal; DFT total energy = -27.490 eV per cell
1.0
-3.096 3.085 -0.731
-3.317 -2.737 2.497
1.146 2.042 3.762
Ca B Tc La
1 2 1 1
direct
0.500 0.500 0.500
0.000 0.000 0.500
0.500 0.000 0.000
0.000 0.000 0.000
0.000 0.500 0.000

# 4
CaLaVB2 GGA-PBE optimized geometry; size of the total moment = 0.071 Bohr magnetons per cell; crystal system = tetragonal; DFT total energy = -17.787 eV per cell
1.0
4.734 0.000 0.000
0.000 5.662 0.000
0.000 0.000 4.734
Ca V B La
1 1 2 1
direct
0.000 0.500 0.000
0.500 0.500 0.500
0.000 0.000 0.500
0.500 0.000 0.000
0.000 0.000 0.000

# 5
CaLaBW2 GGA-PBE optimized geometry; size of the total moment = 0.000 Bohr magnetons per cell; crystal system = tetragonal; DFT total energy = -36.634 eV per cell
1.0
4.372 0.000 0.000
0.000 5.297 0.000
0.000 0.000 4.372
Ca B W La
1 1 2 1
direct
0.500 0.500 0.500
0.000 0.000 0.000
0.000 0.000 0.500
0.500 0.000 0.000
0.000 0.500 0.000

# 6
Li2CaB2 GGA-PBE optimized geometry; size of the total moment = 0.531 Bohr magnetons per cell; crystal system = tetragonal; excess energy over the best structure of this formula in the dataset = 291 meV/atom; DFT total energy = -34.541 eV per cell
1.0
6.433 0.000 0.000
0.000 6.433 0.000
0.000 0.000 3.992
Ca B Li
2 4 4
direct
0.000 0.000 0.000
0.500 0.500 0.000
0.415 0.915 0.000
0.915 0.585 0.000
0.585 0.085 0.000
0.085 0.415 0.000
0.133 0.633 0.500
0.633 0.867 0.500
0.867 0.367 0.500
0.367 0.133 0.500

# 7
Li2CaB GGA-PBE optimized geometry; size of the total moment = 0.000 Bohr magnetons per cell; crystal system = tetragonal; DFT total energy = -20.799 eV per cell
1.0
3.993 0.000 0.000
0.000 3.993 0.000
1.996 1.996 9.075
Ca B Li
2 2 4
direct
0.000 0.000 0.000
0.750 0.250 0.500
0.500 0.500 0.000
0.250 0.750 0.500
0.228 0.125 0.250
0.522 0.625 0.250
0.375 0.772 0.750
0.875 0.478 0.750

# 8
Li3CaB GGA-PBE optimized geometry; size of the total moment = 0.000 Bohr magnetons per cell; crystal system = cubic; excess energy over the best structure of this formula in the dataset = 0 meV/atom; DFT total energy = -13.010 eV per cell
1.0
-1.924 -0.707 -3.948
2.002 -3.964 -0.266
-3.476 -1.892 2.032
Ca B Li
1 1 3
direct
0.500 0.500 0.500
0.000 0.000 0.000
0.000 0.500 0.000
0.000 0.000 0.500
0.500 0.000 0.000

# 9
Li3CaB GGA-PBE optimized geometry; size of the total moment = 0.000 Bohr magnetons per cell; crystal system = cubic; excess energy over the best structure of this formula in the dataset = 1409 meV/atom; DFT total energy = -5.963 eV per cell
1.0
-5.483 0.462 0.649
-0.720 -0.944 -5.412
-0.341 -5.440 0.994
Ca B Li
1 1 3
direct
0.000 0.000 0.000
0.500 0.500 0.500
0.000 0.500 0.000
0.000 0.000 0.500
0.500 0.000 0.000

# 10
LiCaB14 GGA-PBE optimized geometry; size of the total moment = 0.004 Bohr magnetons per cell; crystal system = orthorhombic; DFT total energy = -201.451 eV per cell
1.0
-1.930 -5.429 1.304
3.140 -2.908 5.922
-4.687 -0.203 5.602
Li Ca B
2 2 28
direct
0.500 0.000 0.500
0.000 0.000 0.500
0.250 0.387 0.113
0.750 0.613 0.887
0.666 0.364 0.305
0.334 0.636 0.695
0.166 0.805 0.864
0.834 0.195 0.136
0.128 0.243 0.501
0.872 0.757 0.499
0.628 0.001 0.743
0.372 0.999 0.257
0.088 0.081 0.743
0.912 0.919 0.257
0.588 0.243 0.581
0.412 0.757 0.419
0.717 0.603 0.281
0.601 0.397 0.719
0.217 0.781 0.103
0.101 0.219 0.897
0.283 0.397 0.719
0.399 0.603 0.281
0.783 0.219 0.897
0.899 0.781 0.103
0.327 0.965 0.875
0.167 0.035 0.125
0.827 0.375 0.465
0.667 0.625 0.535
0.673 0.035 0.125
0.833 0.965 0.875
0.173 0.625 0.535
0.333 0.375 0.465

# 11
LiCaB2 GGA-PBE optimized geometry; size of the total moment = 0.000 Bohr magnetons per cell; crystal system = cubic; excess energy over the best structure of this formula in the dataset = 460 meV/atom; DFT total energy = -13.824 eV per cell
1.0
-0.232 -3.796 1.900
-1.019 -0.257 4.119
-3.777 -1.569 1.161
Ca B Li
1 2 1
direct
0.500 0.500 0.500
0.250 0.250 0.250
0.750 0.750 0.750
0.000 0.000 0.000

# 12
Li2CaB2 GGA-PBE optimized geometry; size of the total moment = 0.000 Bohr magnetons per cell; crystal system = tetragonal; excess energy over the best structure of this formula in the dataset = 0 meV/atom; DFT total energy = -18.726 eV per cell
1.0
4.006 0.000 0.000
0.000 4.006 0.000
2.003 2.003 4.395
Ca B Li
1 2 2
direct
0.000 0.000 0.000
0.412 0.412 0.175
0.588 0.588 0.825
0.750 0.250 0.500
0.250 0.750 0.500

# 13
LiCaB12 GGA-PBE optimized geometry; size of the total moment = 0.000 Bohr magnetons per cell; crystal system = tetragonal; DFT total energy = -86.931 eV per cell
1.0
-2.348 3.253 -1.037
-3.347 -1.943 1.481
1.352 3.350 7.451
Li Ca B
1 1 12
direct
0.000 0.000 0.000
0.000 0.000 0.500
0.199 0.500 0.250
0.199 0.500 0.750
0.500 0.500 0.400
0.500 0.500 0.900
0.500 0.199 0.250
0.500 0.199 0.750
0.500 0.500 0.100
0.500 0.500 0.600
0.500 0.801 0.250
0.500 0.801 0.750
0.801 0.500 0.250
0.801 0.500 0.750

# 14
LiCaB2 GGA-PBE optimized geometry; size of the total moment = 0.000 Bohr magnetons per cell; crystal system = tetragonal; excess energy over the best structure of this formula in the dataset = 0 meV/atom; DFT total energy = -31.325 eV per cell
1.0
-3.613 -0.274 -0.237
0.345 -1.858 -3.101
-1.393 -7.728 2.350
Ca B Li
2 4 2
direct
0.000 0.000 0.000
0.750 0.250 0.500
0.375 0.125 0.250
0.375 0.625 0.250
0.375 0.625 0.750
0.875 0.625 0.750
0.500 0.500 0.000
0.250 0.750 0.500

# 15
LiCa4B3N6 GGA-PBE optimized geometry; size of the total moment = 0.000 Bohr magnetons per cell; crystal system = cubic; DFT total energy = -96.249 eV per cell; formation energy without anion corrections = -1.17 eV/atom
1.0
-5.016 -0.607 3.556
1.976 -5.588 -1.746
4.454 2.855 3.192
Li Ca B N
1 4 3 6
direct
0.000 0.000 0.000
0.500 0.500 0.500
0.000 0.500 0.000
0.500 0.000 0.000
0.000 0.000 0.500
0.500 0.000 0.500
0.000 0.500 0.500
0.500 0.500 0.000
0.312 0.312 0.000
0.688 0.688 0.000
0.312 0.000 0.312
0.000 0.688 0.688
0.000 0.312 0.312
0.688 0.000 0.688

# 16
LiCaNbB2 GGA-PBE optimized geometry; size of the total moment = 1.537 Bohr magnetons per cell; crystal system = tetragonal; DFT total energy = -20.672 eV per cell
1.0
4.111 0.000 0.000
0.000 4.269 0.000
0.000 0.000 4.111
Nb B Ca Li
1 2 1 1
direct
0.000 0.500 0.000
0.000 0.000 0.500
0.500 0.000 0.000
0.500 0.500 0.500
0.000 0.000 0.000

# 17
LiCaNi2B GGA-PBE optimized geometry; size of the total moment = 0.444 Bohr magnetons per cell; crystal system = tetragonal; DFT total energy = -22.821 eV per cell
1.0
3.986 0.000 0.000
0.000 3.986 0.000
0.000 0.000 4.310
Ni Ca B Li
2 1 1 1
direct
0.000 0.500 0.000
0.500 0.000 0.000
0.500 0.500 0.500
0.000 0.000 0.000
0.000 0.000 0.500

# 18
LiCa2BPd6 GGA-PBE optimized geometry; size of the total moment = 0.000 Bohr magnetons per cell; crystal system = monoclinic; DFT total energy = -48.723 eV per cell
1.0
5.838 0.003 -0.003
-0.004 6.853 -0.654
2.920 2.973 4.127
Li Ca B Pd
1 2 1 6
direct
0.000 0.000 0.000
0.725 0.179 0.551
0.275 0.821 0.449
0.500 0.500 0.000
0.263 0.309 0.475
0.738 0.694 0.040
0.222 0.694 0.039
0.778 0.306 0.961
0.262 0.306 0.960
0.737 0.691 0.525

# 19
LiCaBPt2 GGA-PBE optimized geometry; size of the total moment = 0.000 Bohr magnetons per cell; crystal system = tetragonal; DFT total energy = -25.589 eV per cell
1.0
4.267 0.000 0.000
0.000 4.267 0.000
0.000 0.000 4.400
Ca B Pt Li
1 1 2 1
direct
0.500 0.500 0.500
0.000 0.000 0.000
0.000 0.500 0.000
0.500 0.000 0.000
0.000 0.000 0.500

# 20
Li2CaReB GGA-PBE optimized geometry; size of the total moment = 0.002 Bohr magnetons per cell; crystal system = tetragonal; DFT total energy = -15.216 eV per cell
1.0
3.774 0.000 0.000
0.000 4.659 0.000
0.000 0.000 3.774
Re Ca B Li
1 1 1 2
direct
0.500 0.500 0.500
0.000 0.000 0.000
0.000 0.500 0.000
0.000 0.000 0.500
0.500 0.000 0.000